Below is a geometry-optimized K3UTi2O9 structure, with properties calculated at the PBE level.

Cell lengths 5.7309, 5.7309, 7.0537 Å; angles 90.00, 90.00, 120.00 degrees
Last column: nearest neighbours and their distance in Å.
Fractional coordinates of all 15 atoms:
K (0.0000, 0.0000, 0.0000)  12 O 2.86-2.87
K (0.3333, 0.6667, 0.6689)  12 O 2.86-2.90
K (0.6667, 0.3333, 0.3311)  12 O 2.86-2.90
U (0.0000, 0.0000, 0.5000)  6 O 2.09
Ti (0.3333, 0.6667, 0.1452)  6 O 1.95-2.06
Ti (0.6667, 0.3333, 0.8548)  6 O 1.95-2.06
O (0.0000, 0.5000, 0.0000)  2 Ti 1.95
O (0.1710, 0.3421, 0.3270)  1 Ti 2.06, 1 U 2.09
O (0.1710, 0.8290, 0.3270)  1 Ti 2.06, 1 U 2.09
O (0.3421, 0.1710, 0.6730)  1 Ti 2.06, 1 U 2.09
O (0.5000, 0.0000, 0.0000)  2 Ti 1.95
O (0.5000, 0.5000, 0.0000)  2 Ti 1.95
O (0.6579, 0.8290, 0.3270)  1 Ti 2.06, 1 U 2.09
O (0.8290, 0.1710, 0.6730)  1 Ti 2.06, 1 U 2.09
O (0.8290, 0.6579, 0.6730)  1 Ti 2.06, 1 U 2.09

Results
Volume in Å³ per atom: 13.38
ΔE_f (raw) in eV per atom: -2.579
Uncorrected energy in eV per formula unit: -113.7


Below is a geometry-optimized K2U3TiO12 structure, with properties calculated at the PBE level.

Cell lengths 7.5333, 7.5333, 7.5333 Å; angles 63.22, 63.22, 63.22 degrees
Last column: nearest neighbours and their distance in Å.
Fractional coordinates of all 18 atoms:
K (0.1424, 0.1424, 0.1424)  9 O 3.30-3.48
K (0.8576, 0.8576, 0.8576)  9 O 3.30-3.48
U (0.0000, 0.5000, 0.5000)  6 O 2.01-2.13
U (0.5000, 0.0000, 0.5000)  6 O 2.01-2.13
U (0.5000, 0.5000, 0.0000)  6 O 2.01-2.13
Ti (0.5000, 0.5000, 0.5000)  6 O 1.97
O (0.1768, 0.1768, 0.5576)  2 U 2.13
O (0.1768, 0.5576, 0.1768)  2 U 2.13
O (0.1999, 0.5586, 0.5586)  1 Ti 1.97, 1 U 2.01
O (0.4414, 0.4414, 0.8001)  1 Ti 1.97, 1 U 2.01
O (0.4414, 0.8001, 0.4414)  1 Ti 1.97, 1 U 2.01
O (0.4424, 0.8232, 0.8232)  2 U 2.13
O (0.5576, 0.1768, 0.1768)  2 U 2.13
O (0.5586, 0.1999, 0.5586)  1 Ti 1.97, 1 U 2.01
O (0.5586, 0.5586, 0.1999)  1 Ti 1.97, 1 U 2.01
O (0.8001, 0.4414, 0.4414)  1 Ti 1.97, 1 U 2.01
O (0.8232, 0.4424, 0.8232)  2 U 2.13
O (0.8232, 0.8232, 0.4424)  2 U 2.13

Results
Volume in Å³ per atom: 17.99
ΔE_f (raw) in eV per atom: -2.905
Uncorrected energy in eV per formula unit: -155.7